GGA-PBE AcPmCu2, relaxed; Fermi-level density of states = 3.312 states/eV per cell; total DFT energy (no corrections) = -17.7 eV per cell
1.0
4.090 0.000 0.000
0.000 4.559 0.000
-2.026 0.000 5.486
Ac Pm Cu
1 1 2
direct
0.000 0.000 0.000 Ac
0.285 0.500 0.566 Pm
0.589 0.500 0.175 Cu
0.713 0.000 0.425 Cu